Model A:
BeWBr2 | PBE-GGA | relaxed

## Properties
Calculated volume   22.45 Å³ per atom
Size of the total moment   0.9 μB per cell
Space group   Cmmm (65)

a = 3.278 Å, b = 3.278 Å, c = 10.206 Å
α = 90.00°, β = 90.00°, γ = 125.04°
Last column: magnetic moment on the atom in μB.
Atoms (fractional coordinates):
W: 0.500 0.500 0.250  0.71
Be: 0.500 0.500 0.750  0.00
Br: 0.000 0.000 0.044  0.02
Br: 0.000 0.000 0.456  0.02



Model B:
BeWBr2 | PBE-GGA | relaxed

## Properties
Calculated volume   16.90 Å³ per atom
Size of the total moment   0.0 μB per cell
Space group   P4/mmm (123)

a = 3.040 Å, b = 4.715 Å, c = 4.715 Å
α = 90.00°, β = 90.00°, γ = 90.00°
Atoms (fractional coordinates):
Br: 0.000 0.500 0.500
Be: 0.500 0.000 0.500
Br: 0.000 0.000 0.000
W: 0.500 0.500 0.000



Model C:
BeWBr2 | PBE-GGA | relaxed

## Properties
Calculated volume   18.94 Å³ per atom
Size of the total moment   0.6 μB per cell
Space group   C2/m (12)

a = 5.617 Å, b = 5.733 Å, c = 3.070 Å
α = 101.24°, β = 68.11°, γ = 124.31°
Last column: magnetic moment on the atom in μB.
Atoms (fractional coordinates):
Br: 0.000 0.000 0.000  0.01
Br: 0.000 0.500 0.500  0.01
W: 0.500 0.500 0.000  0.52
Be: 0.500 0.000 0.500  -0.02



Model D:
BeWBr2 | PBE-GGA | relaxed

## Properties
Calculated volume   17.26 Å³ per atom
Size of the total moment   0.0 μB per cell
Space group   Cmmm (65)

a = 4.786 Å, b = 4.786 Å, c = 3.074 Å
α = 90.00°, β = 90.00°, γ = 101.26°
Atoms (fractional coordinates):
Be: 0.000 0.500 0.500
Br: 0.000 0.000 0.000
W: 0.500 0.000 0.500
Br: 0.500 0.500 0.000



Stability check: which of them is least stable? model B.



Model A:
BeWBr2 | PBE-GGA | relaxed

## Properties
Calculated volume   18.75 Å³ per atom
Size of the total moment   0.0 μB per cell
Space group   P2/m (10)

a = 4.343 Å, b = 3.159 Å, c = 6.051 Å
α = 115.38°, β = 90.00°, γ = 90.00°
Atoms (fractional coordinates):
Br: 0.000 0.288 0.499
Br: 0.000 0.212 0.001
Be: 0.500 0.750 0.750
W: 0.500 0.250 0.250



Model B:
BeWBr2 | PBE-GGA | relaxed

## Properties
Calculated volume   19.72 Å³ per atom
Size of the total moment   0.0 μB per cell
Space group   I-42d (122)

a = 5.606 Å, b = 5.606 Å, c = 6.396 Å
α = 64.01°, β = 64.01°, γ = 90.00°
Atoms (fractional coordinates):
Be: 0.500 0.500 0.000
Br: 0.176 0.625 0.250
Be: 0.250 0.750 0.500
W: 0.000 0.000 0.000
W: 0.750 0.250 0.500
Br: 0.375 0.426 0.750
Br: 0.875 0.824 0.750
Br: 0.574 0.125 0.250



Stability check: which of them is least stable? model B.



Model A:
BeWBr3 | PBE-GGA | relaxed

## Properties
Calculated volume   28.83 Å³ per atom
Size of the total moment   2.9 μB per cell
Space group   Pm-3m (221)

a = 5.243 Å, b = 5.243 Å, c = 5.243 Å
α = 90.00°, β = 90.00°, γ = 90.00°
Last column: magnetic moment on the atom in μB.
Atoms (fractional coordinates):
Br: 0.000 0.000 0.500  0.03
W: 0.000 0.000 0.000  2.35
Br: 0.000 0.500 0.000  0.03
Br: 0.500 0.000 0.000  0.03
Be: 0.500 0.500 0.500  -0.08



Model B:
BeWBr3 | PBE-GGA | relaxed

## Properties
Calculated volume   22.65 Å³ per atom
Size of the total moment   4.8 μB per cell
Space group   Pm-3m (221)

a = 4.838 Å, b = 4.838 Å, c = 4.838 Å
α = 90.00°, β = 90.00°, γ = 90.00°
Last column: magnetic moment on the atom in μB.
Atoms (fractional coordinates):
Be: 0.000 0.000 0.000  0.01
Br: 0.000 0.500 0.000  0.02
Br: 0.000 0.000 0.500  0.02
Br: 0.500 0.000 0.000  0.02
W: 0.500 0.500 0.500  3.44



Stability check: which of them is least stable? model B.